Here is a geometry-optimized CoNiSeS structure from Alexandria via LeMat-Bulk. Energies are from PBE.

Results
formation energy (no corrections) = -0.25 eV/atom
N(E_F) = 0.90 states/eV/atom
magnetization = 0.0 Bohr magnetons per cell
symmetry = No. 8
total DFT energy (no corrections) = -21.51 eV/cell

Unit cell a=3.6641 b=3.6641 c=6.0749 alpha=95.26 beta=101.84 gamma=120.52
Fractional coordinates of all 4 atoms:
1 S 0.1701 0.5118 0.6820
2 Co 0.4677 0.5667 0.0344
3 Se 0.2300 0.9702 0.2002
4 Ni 0.4612 0.1520 0.6132